(1)
A plane-wave DFT calculation with GGA-PBE was carried out for a relaxed Pm3Ge8Ir3 crystal.

Cell and atoms, written as POSCAR:
```
Pm3Ge8Ir3
1.0
-2.8929 2.9639 -1.5767
-3.7363 -3.8293 -6.5710
-7.9861 -3.9976 0.9094
Ge Pm Ir
8 3 3
direct
0.8761 0.8366 0.4113
0.1239 0.1634 0.5887
0.8263 0.4495 0.8978
0.4788 0.3496 0.6928
0.1737 0.5505 0.1022
0.6324 0.0000 0.7352
0.5212 0.6504 0.3072
0.3676 0.0000 0.2648
0.0000 0.0000 0.0000
0.7178 0.2486 0.3158
0.2822 0.7514 0.6842
0.6518 0.6972 0.9992
0.3482 0.3028 0.0008
0.0000 0.5000 0.5000
```

## Properties
As for the crystal system: monoclinic. For the distance to the lowest polymorph of the same formula, the calculation gives 0.0 meV per atom. The energy of formation comes out at -0.564 eV/atom. The value obtained for the total magnetic moment is 0.00 Bohr magnetons per cell. The calculation puts the electronic total energy at -6.119 eV/atom.

(2)
A plane-wave DFT calculation with GGA-PBE was carried out for a relaxed Pm3Ge3Ir crystal.

Cell and atoms, written as POSCAR:
```
Pm3Ge3Ir
1.0
5.8669 0.0000 0.0000
0.0000 8.6025 0.0000
0.0000 -4.3012 7.4500
Ge Ir Pm
6 2 6
direct
0.7500 0.0845 0.7224
0.2500 0.7224 0.6379
0.7500 0.6379 0.9155
0.7500 0.2776 0.3621
0.2500 0.3621 0.0845
0.2500 0.9155 0.2776
0.2500 0.6667 0.3333
0.7500 0.3333 0.6667
0.7500 0.6901 0.5990
0.7500 0.4010 0.0912
0.2500 0.5990 0.9088
0.7500 0.9088 0.3099
0.2500 0.0912 0.6901
0.2500 0.3099 0.4010
```

## Properties
As for the crystal system: hexagonal. For the distance to the lowest polymorph of the same formula, the calculation gives 314.9 meV per atom. The energy of formation comes out at -0.511 eV/atom. The value obtained for the total magnetic moment is 0.30 Bohr magnetons per cell. The calculation puts the electronic total energy at -5.792 eV/atom.

(3)
A plane-wave DFT calculation with GGA-PBE was carried out for a relaxed Pm2Ge5Ir crystal.

Cell and atoms, written as POSCAR:
```
Pm2Ge5Ir
1.0
6.2314 -0.0001 -0.0003
0.0001 6.2315 -0.0002
-3.1157 -3.1157 4.4120
Ir Ge Pm
1 5 2
direct
0.0004 0.0004 0.0007
0.7209 0.2890 0.0099
0.2890 0.7209 0.0099
0.7209 0.7209 0.0099
0.7236 0.7236 0.4472
0.2890 0.2890 0.0099
0.7666 0.2666 0.5332
0.2666 0.7666 0.5332
```

## Properties
As for the crystal system: tetragonal. The energy of formation comes out at -0.430 eV/atom. The value obtained for the total magnetic moment is 0.00 Bohr magnetons per cell. The calculation puts the electronic total energy at -5.611 eV/atom.

(4)
A plane-wave DFT calculation with GGA-PBE was carried out for a relaxed Pm2Ge2Ir3 crystal.

Cell and atoms, written as POSCAR:
```
Pm2Ge2Ir3
1.0
5.3762 0.0000 1.5837
0.0000 4.0669 0.0000
1.1757 0.0000 8.0149
Ir Pm Ge
3 2 2
direct
0.0000 0.0000 0.0000
0.7115 0.0000 0.5208
0.2885 0.0000 0.4792
0.6437 0.5000 0.2347
0.3563 0.5000 0.7653
0.8709 0.0000 0.7530
0.1291 0.0000 0.2470
```

## Properties
As for the crystal system: monoclinic. The energy of formation comes out at -0.428 eV/atom. The value obtained for the total magnetic moment is 0.00 Bohr magnetons per cell. The calculation puts the electronic total energy at -6.902 eV/atom.